(1)
First-principles (PBE) data for an optimized crystal structure of Li2HgAs2O7, as listed in Alexandria via LeMat-Bulk.

Lattice parameters (Å, degrees): 5.396 5.396 8.118 70.59 70.59 60.00
Element x y z (fractional)
Li 0.755 0.755 0.736
Li 0.245 0.245 0.264
Hg 0.500 0.500 0.500
As 0.921 0.921 0.236
As 0.079 0.079 0.764
O 0.205 0.903 0.296
O 0.596 0.205 0.296
O 0.903 0.596 0.296
O 0.404 0.097 0.704
O 0.795 0.404 0.704
O 0.000 0.000 0.000
O 0.097 0.795 0.704

Calculated values
- Formation energy without anion corrections: -29.875 kcal/mol of atoms
- Symmetry: R32 (155)
- Crystal system: trigonal

---

(2)
First-principles (PBE) data for an optimized crystal structure of KHgPb2, as listed in Alexandria via LeMat-Bulk.

Lattice parameters (Å, degrees): 4.783 4.783 12.506 78.97 78.97 90.00
Element x y z (fractional)
Pb 0.645 0.125 0.250
Pb 0.105 0.625 0.250
Pb 0.375 0.355 0.750
Pb 0.875 0.895 0.750
K 0.500 0.500 0.000
K 0.250 0.750 0.500
Hg 0.000 0.000 0.000
Hg 0.750 0.250 0.500

Calculated values
- Symmetry: I-42d (122)
- Crystal system: tetragonal
- DFT formation energy: 7 meV/atom

---

(3)
First-principles (PBE) data for an optimized crystal structure of KIrOs2, as listed in Alexandria via LeMat-Bulk.

Lattice parameters (Å, degrees): 10.489 10.489 10.489 15.09 15.09 15.09
Element x y z (fractional)
Ir 0.250 0.250 0.250
K 0.750 0.750 0.750
Os 0.987 0.987 0.987
Os 0.513 0.513 0.513

Calculated values
- Symmetry: R-3m (166)
- Crystal system: trigonal
- DFT formation energy: 763 meV/atom
- Energy above the most stable polymorph in this dataset: 77 meV/atom

---

(4)
First-principles (PBE) data for an optimized crystal structure of PmHoO, as listed in Alexandria via LeMat-Bulk.

Lattice parameters (Å, degrees): 3.570 3.570 12.103 81.52 81.52 60.00
Element x y z (fractional)
Ho 0.046 0.046 0.862
Ho 0.954 0.954 0.138
O 0.590 0.590 0.230
O 0.410 0.410 0.770
Pm 0.212 0.212 0.363
Pm 0.788 0.788 0.637

Calculated values
- Formation energy without anion corrections: -39.576 kcal/mol of atoms
- Symmetry: R-3m (166)
- Crystal system: trigonal
- Energy above the most stable polymorph in this dataset: 44 meV/atom

---

(5)
First-principles (PBE) data for an optimized crystal structure of AgPRh2, as listed in Alexandria via LeMat-Bulk.

Lattice parameters (Å, degrees): 8.735 8.735 8.735 18.96 18.96 18.96
Last column: magnetic moment on the atom in μB.
Element x y z (fractional)
Ag 0.503 0.503 0.503  0.01
P 0.261 0.261 0.261  0.01
Rh 0.991 0.991 0.991  0.19
Rh 0.746 0.746 0.746  0.70

Calculated values
- Symmetry: R3m (160)
- Crystal system: trigonal
- DFT formation energy: 55 meV/atom

---

(6)
First-principles (PBE) data for an optimized crystal structure of Rb3ReRh3Se8, as listed in Alexandria via LeMat-Bulk.

Lattice parameters (Å, degrees): 7.687 7.691 8.875 115.75 90.00 119.98
Last column: magnetic moment on the atom in μB.
Element x y z (fractional)
Rb 0.000 0.000 0.000  0.00
Rb 0.000 0.500 0.000  0.00
Rb 0.500 0.500 0.000  0.00
Re 0.000 0.000 0.500  2.00
Rh 0.500 0.000 0.500  0.06
Rh 0.500 0.500 0.500  0.06
Rh 0.000 0.500 0.500  0.06
Se 0.280 0.560 0.341  0.01
Se 0.720 0.440 0.659  0.01
Se 0.775 0.550 0.334  0.02
Se 0.225 0.450 0.666  0.02
Se 0.775 0.059 0.334  0.02
Se 0.225 0.941 0.666  0.02
Se 0.283 0.059 0.334  0.02
Se 0.717 0.941 0.666  0.02

Calculated values
- Formation energy without anion corrections: -12.702 kcal/mol of atoms
- Symmetry: C2/m (12)
- Crystal system: monoclinic

---

(7)
First-principles (PBE) data for an optimized crystal structure of TaCo4Os, as listed in Alexandria via LeMat-Bulk.

Lattice parameters (Å, degrees): 4.716 4.716 4.716 60.00 60.00 60.00
Last column: magnetic moment on the atom in μB.
Element x y z (fractional)
Co 0.126 0.625 0.625  1.38
Co 0.625 0.625 0.625  1.38
Co 0.625 0.126 0.625  1.38
Co 0.625 0.625 0.126  1.38
Os 0.250 0.250 0.250  0.63
Ta 0.000 0.000 0.000  -0.24

Calculated values
- Symmetry: F-43m (216)
- Crystal system: cubic
- DFT formation energy: -100 meV/atom

---

(8)
First-principles (PBE) data for an optimized crystal structure of Pm8Dy5Ho, as listed in Alexandria via LeMat-Bulk.

Lattice parameters (Å, degrees): 8.541 8.543 8.541 111.03 106.37 111.05
Element x y z (fractional)
Pm 0.166 0.734 0.075
Pm 0.925 0.090 0.659
Pm 0.731 0.258 0.336
Pm 0.664 0.396 0.922
Pm 0.526 0.604 0.269
Pm 0.569 0.910 0.835
Pm 0.341 0.266 0.431
Pm 0.078 0.742 0.474
Dy 0.034 0.314 0.132
Dy 0.868 0.902 0.182
Dy 0.818 0.686 0.720
Dy 0.500 0.000 0.500
Dy 0.280 0.098 0.966
Ho 0.250 0.500 0.750

Calculated values
- Symmetry: I-4 (82)
- Crystal system: tetragonal
- DFT formation energy: 253 meV/atom

---

(9)
First-principles (PBE) data for an optimized crystal structure of CrBr, as listed in Alexandria via LeMat-Bulk.

Lattice parameters (Å, degrees): 10.384 10.383 3.223 90.00 90.00 120.00
Element x y z (fractional)
Cr 0.560 0.985 0.250
Cr 0.575 0.560 0.750
Cr 0.015 0.575 0.250
Cr 0.440 0.015 0.750
Cr 0.425 0.440 0.250
Cr 0.985 0.425 0.750
Br 0.797 0.220 0.250
Br 0.576 0.797 0.750
Br 0.780 0.576 0.250
Br 0.203 0.780 0.750
Br 0.424 0.203 0.250
Br 0.220 0.424 0.750

Calculated values
- Formation energy without anion corrections: 6.234 kcal/mol of atoms
- Symmetry: P6_3/m (176)
- Crystal system: hexagonal

---

(10)
First-principles (PBE) data for an optimized crystal structure of TiCuHg, as listed in Alexandria via LeMat-Bulk.

Lattice parameters (Å, degrees): 8.503 8.503 4.600 90.00 90.00 161.25
Last column: magnetic moment on the atom in μB.
Element x y z (fractional)
Ti 0.460 0.540 0.750  0.40
Ti 0.540 0.460 0.250  0.40
Cu 0.621 0.379 0.750  0.03
Cu 0.379 0.621 0.250  0.03
Hg 0.195 0.805 0.250  0.00
Hg 0.805 0.195 0.750  0.00

Calculated values
- Symmetry: Cmcm (63)
- Crystal system: orthorhombic
- DFT formation energy: 352 meV/atom
- Energy above the most stable polymorph in this dataset: 293 meV/atom

---

(11)
First-principles (PBE) data for an optimized crystal structure of BeGa, as listed in Alexandria via LeMat-Bulk.

Lattice parameters (Å, degrees): 4.898 4.898 4.898 90.00 90.00 90.00
Element x y z (fractional)
Be 0.000 0.000 0.000
Be 0.000 0.500 0.500
Be 0.500 0.000 0.500
Be 0.500 0.500 0.000
Ga 0.500 0.500 0.500
Ga 0.500 0.000 0.000
Ga 0.000 0.500 0.000
Ga 0.000 0.000 0.500

Calculated values
- Symmetry: Fm-3m (225)
- Crystal system: cubic
- DFT formation energy: 544 meV/atom
- Energy above the most stable polymorph in this dataset: 387 meV/atom

---

(12)
First-principles (PBE) data for an optimized crystal structure of LiLaSmTm, as listed in Alexandria via LeMat-Bulk.

Lattice parameters (Å, degrees): 5.584 5.584 5.584 60.00 60.00 60.00
Element x y z (fractional)
Tm 0.500 0.500 0.500
Li 0.000 0.000 0.000
Sm 0.750 0.750 0.750
La 0.250 0.250 0.250

Calculated values
- Symmetry: F-43m (216)
- Crystal system: cubic
- DFT formation energy: 145 meV/atom